Computed, not measured: a relaxed ScSi2Ir crystal at the PBE level of DFT.

Lattice parameters (Å, degrees): 4.531 4.531 4.870 78.21 78.21 40.76
Fractional positions:
Ir 0.515 0.515 0.421
Sc 0.749 0.749 0.768
Si 0.988 0.988 0.053
Si 0.248 0.248 0.258

The value obtained for the total magnetic moment is 0.00 μB per cell. The value obtained for the uncorrected formation energy is -2.2 eV per formula unit. Its space-group type is Cm.